Density functional theory data (PBE) for an optimized crystal structure of MnCu3Au.

The space group is Pm-3m (No. 221) and the conventional cell measures 4.732, 4.732 and 4.732 Å, with angles of 90.00, 90.00 and 90.00 degrees. Symmetry generates all atoms from Mn at (0.000, 0.000, 0.000), Cu at (0.000, 0.500, 0.500) and Au at (0.500, 0.500, 0.500).

The calculation puts the calculated density at 6.9 g/cm³. As for the polymorph energy (0 for the lowest one): 0 meV/atom. As for the crystal system: cubic.